# 1
Compound: Nd12Rh6Pb
Source: Alexandria
Functional: PBE
Structure: optimized geometry

POSCAR file:
```
Nd12Rh6Pb
1.0
-5.118 5.118 5.118
5.118 -5.118 5.118
5.118 5.118 -5.118
Nd Rh Pb
12 6 1
direct
0.120 0.306 0.814 Nd
0.186 0.491 0.306 Nd
0.186 0.880 0.694 Nd
0.306 0.186 0.491 Nd
0.306 0.814 0.120 Nd
0.491 0.306 0.186 Nd
0.509 0.694 0.814 Nd
0.694 0.186 0.880 Nd
0.694 0.814 0.509 Nd
0.814 0.120 0.306 Nd
0.814 0.509 0.694 Nd
0.880 0.694 0.186 Nd
0.131 0.500 0.631 Rh
0.369 0.869 0.500 Rh
0.500 0.369 0.869 Rh
0.500 0.631 0.131 Rh
0.631 0.131 0.500 Rh
0.869 0.500 0.369 Rh
0.000 0.000 0.000 Pb
```

## Properties
**SG**: Im-3, No. 204
**Formation energy from the elements**: -51 kJ/mol of atoms

***

# 2
Compound: Ac2LaNbN4
Source: Alexandria
Functional: PBE
Structure: optimized geometry

POSCAR file:
```
Ac2LaNbN4
1.0
1.803 -6.308 0.000
1.803 6.308 0.000
0.000 0.000 13.325
Ac La Nb N
4 2 2 8
direct
0.133 0.867 0.537 Ac
0.133 0.867 0.963 Ac
0.867 0.133 0.037 Ac
0.867 0.133 0.463 Ac
0.409 0.591 0.750 La
0.591 0.409 0.250 La
0.324 0.676 0.250 Nb
0.676 0.324 0.750 Nb
0.080 0.920 0.750 N
0.223 0.777 0.140 N
0.223 0.777 0.360 N
0.500 0.500 0.000 N
0.500 0.500 0.500 N
0.777 0.223 0.640 N
0.777 0.223 0.860 N
0.920 0.080 0.250 N
```

## Properties
**Uncorrected formation energy**: -0.95 eV/atom
**SG**: Cmcm, No. 63

***

# 3
Compound: Mg2TaSe
Source: Alexandria
Functional: PBE
Structure: optimized geometry

POSCAR file:
```
Mg2TaSe
1.0
3.258 0.000 0.000
0.000 4.965 0.000
0.000 0.000 10.111
Mg Ta Se
4 2 2
direct
0.000 0.000 0.000 Mg
0.000 0.500 0.208 Mg
0.500 0.000 0.708 Mg
0.500 0.500 0.500 Mg
0.000 0.000 0.444 Ta
0.500 0.500 0.944 Ta
0.000 0.500 0.748 Se
0.500 0.000 0.248 Se
```

## Properties
**Uncorrected formation energy**: 0.01 eV/atom
**SG**: Imm2, No. 44

***

# 4
Compound: PaFeIr2
Source: Alexandria
Functional: PBE
Structure: optimized geometry

POSCAR file:
```
PaFeIr2
1.0
4.684 0.000 0.000
-2.342 4.056 0.000
0.000 0.000 11.206
Pa Fe Ir
3 3 6
direct
0.000 0.000 0.000 Pa
0.333 0.667 0.667 Pa
0.667 0.333 0.333 Pa
0.000 0.000 0.500 Fe
0.333 0.667 0.167 Fe
0.667 0.333 0.833 Fe
0.000 0.000 0.263 Ir
0.000 0.000 0.737 Ir
0.333 0.667 0.404 Ir
0.333 0.667 0.930 Ir
0.667 0.333 0.070 Ir
0.667 0.333 0.596 Ir
```

## Properties
**SG**: R-3m, No. 166
**Formation energy from the elements**: -22 kJ/mol of atoms
**Offset from the most stable computed form**: 354.1 meV per atom